A plane-wave DFT calculation with PBE-GGA was carried out for a geometry-optimized Tb3PmGa4 structure.

Summary:
Energy relative to the elements = -0.58 eV/atom
E_tot = -4.4248 eV/atom
Excess energy over the best structure of this formula in the dataset = 0.0 meV per atom
Volume = 23.4 A^3/atom
Total magnetic moment = 0.0 μB per cell

Lattice parameters (Å, degrees): 5.099 7.215 10.199 90.00 90.00 90.00
Element x y z (fractional)
Ga 0.000 0.755 0.250
Pm 0.000 0.500 0.500
Tb 0.500 0.500 0.250
Ga 0.500 0.755 0.500
Tb 0.500 0.500 0.750
Ga 0.000 0.245 0.750
Ga 0.500 0.245 0.500
Tb 0.000 0.000 0.000
Ga 0.500 0.755 0.000
Tb 0.500 0.000 0.750
Ga 0.500 0.245 0.000
Ga 0.000 0.755 0.750
Tb 0.500 0.000 0.250
Pm 0.000 0.500 0.000
Ga 0.000 0.245 0.250
Tb 0.000 0.000 0.500

=====

A plane-wave DFT calculation with PBE-GGA was carried out for a geometry-optimized Tb2Pm2Ga3 structure.

Summary:
Energy relative to the elements = -0.43 eV/atom
E_tot = -4.4112 eV/atom
Volume = 24.9 A^3/atom
Total magnetic moment = 0.0 μB per cell

Lattice parameters (Å, degrees): 3.725 8.221 5.998 92.56 71.92 89.99
Element x y z (fractional)
Ga 0.169 0.541 0.663
Pm 0.704 0.834 0.592
Ga 0.000 0.000 0.000
Tb 0.559 0.303 0.882
Tb 0.441 0.697 0.118
Ga 0.831 0.459 0.337
Pm 0.296 0.166 0.408

=====

A plane-wave DFT calculation with PBE-GGA was carried out for a geometry-optimized Tb2Pm3Ga3 structure.

Summary:
Energy relative to the elements = -0.42 eV/atom
E_tot = -4.4967 eV/atom
Volume = 26.6 A^3/atom
Total magnetic moment = 0.0 μB per cell

Lattice parameters (Å, degrees): 3.709 5.240 11.416 103.27 99.35 90.00
Element x y z (fractional)
Pm 0.382 0.382 0.764
Tb 0.728 0.228 0.457
Pm 0.500 0.000 0.000
Ga 0.119 0.119 0.239
Ga 0.000 0.500 0.000
Pm 0.618 0.618 0.236
Tb 0.272 0.772 0.543
Ga 0.881 0.881 0.761

=====

A plane-wave DFT calculation with PBE-GGA was carried out for a geometry-optimized Tb5PmGa6 structure.

Summary:
Energy relative to the elements = -0.58 eV/atom
E_tot = -4.4216 eV/atom
Volume = 23.3 A^3/atom
Total magnetic moment = 0.0 μB per cell

Lattice parameters (Å, degrees): 5.086 7.199 8.044 90.00 71.68 90.00
Element x y z (fractional)
Ga 0.831 0.747 0.337
Ga 0.169 0.253 0.663
Ga 0.169 0.747 0.663
Ga 0.831 0.253 0.337
Tb 0.667 0.000 0.666
Pm 0.000 0.000 0.000
Tb 0.333 0.000 0.334
Tb 0.335 0.500 0.330
Ga 0.500 0.253 0.000
Tb 0.665 0.500 0.670
Ga 0.500 0.747 0.000
Tb 0.000 0.500 0.000

=====

A plane-wave DFT calculation with PBE-GGA was carried out for a geometry-optimized TbPmGa3 structure.

Summary:
Energy relative to the elements = -0.66 eV/atom
E_tot = -4.3570 eV/atom
Volume = 23.2 A^3/atom
Total magnetic moment = 0.0 μB per cell

Lattice parameters (Å, degrees): 4.208 4.276 13.074 99.41 90.00 90.00
Element x y z (fractional)
Pm 0.250 0.073 0.146
Ga 0.750 0.620 0.240
Ga 0.750 0.524 0.048
Pm 0.750 0.927 0.854
Tb 0.250 0.796 0.593
Ga 0.250 0.380 0.760
Ga 0.250 0.476 0.952
Tb 0.750 0.204 0.407
Ga 0.250 0.676 0.352
Ga 0.750 0.324 0.648

=====

A plane-wave DFT calculation with PBE-GGA was carried out for a geometry-optimized TbPm2Ga6 structure.

Summary:
Energy relative to the elements = -0.67 eV/atom
E_tot = -4.2609 eV/atom
Excess energy over the best structure of this formula in the dataset = 0.0 meV per atom
Volume = 22.0 A^3/atom
Total magnetic moment = 0.0 μB per cell

Lattice parameters (Å, degrees): 4.223 7.355 7.355 120.00 90.00 90.00
Element x y z (fractional)
Ga 0.500 0.332 0.000
Ga 0.500 0.332 0.332
Pm 0.000 0.333 0.667
Ga 0.500 0.000 0.332
Pm 0.000 0.667 0.333
Ga 0.500 0.000 0.668
Tb 0.000 0.000 0.000
Ga 0.500 0.668 0.668
Ga 0.500 0.668 0.000

=====

A plane-wave DFT calculation with PBE-GGA was carried out for a geometry-optimized Tb4Pm3Ga4 structure.

Summary:
Energy relative to the elements = -0.37 eV/atom
E_tot = -4.4512 eV/atom
Volume = 27.0 A^3/atom
Total magnetic moment = 0.0 μB per cell

Lattice parameters (Å, degrees): 5.011 6.983 9.508 111.54 105.28 90.00
Element x y z (fractional)
Pm 0.000 0.500 0.000
Pm 0.100 0.100 0.200
Ga 0.180 0.680 0.360
Tb 0.677 0.907 0.354
Tb 0.677 0.446 0.354
Ga 0.500 0.806 0.000
Tb 0.323 0.093 0.646
Pm 0.900 0.900 0.800
Ga 0.500 0.194 0.000
Ga 0.820 0.320 0.640
Tb 0.323 0.554 0.646

=====

A plane-wave DFT calculation with PBE-GGA was carried out for a geometry-optimized TbPm3Ga structure.

Summary:
Energy relative to the elements = -0.07 eV/atom
E_tot = -4.4477 eV/atom
Excess energy over the best structure of this formula in the dataset = 136.2 meV per atom
Volume = 32.8 A^3/atom
Total magnetic moment = 0.0 μB per cell

Lattice parameters (Å, degrees): 7.563 7.563 7.560 105.56 117.69 105.51
Element x y z (fractional)
Tb 0.297 0.938 0.235
Tb 0.703 0.062 0.765
Pm 0.224 0.421 0.266
Pm 0.155 0.958 0.734
Pm 0.845 0.042 0.266
Pm 0.723 0.442 0.164
Pm 0.277 0.558 0.836
Ga 0.375 0.248 0.623
Pm 0.776 0.579 0.734
Ga 0.625 0.752 0.377